Density functional theory data (PBE-GGA) for an optimized crystal structure of Cu2AgCl.

Calculated values
**Relative energy among the computed polymorphs**: 335 meV per atom

a = 3.648 Å, b = 3.648 Å, c = 10.015 Å
α = 90.00°, β = 90.00°, γ = 90.00°
Fractional coordinates of all 8 atoms:
Cu (0.000, 0.000, 0.000)
Cu (0.000, 0.500, 0.250)
Cu (0.500, 0.000, 0.750)
Cu (0.500, 0.500, 0.500)
Ag (0.000, 0.500, 0.750)
Ag (0.500, 0.000, 0.250)
Cl (0.000, 0.000, 0.500)
Cl (0.500, 0.500, 0.000)


Density functional theory data (PBE-GGA) for an optimized crystal structure of ScTa2SnPb.

Calculated values
**ΔE_f**: 1.5311 eV per atom

a = 4.941 Å, b = 4.941 Å, c = 5.381 Å
α = 90.00°, β = 90.00°, γ = 90.00°
Fractional coordinates of all 5 atoms:
Sc (0.000, 0.000, 0.000)
Ta (0.000, 0.500, 0.000)
Ta (0.500, 0.000, 0.000)
Sn (0.500, 0.500, 0.500)
Pb (0.000, 0.000, 0.500)


Density functional theory data (PBE-GGA) for an optimized crystal structure of SmYTiN3.

a = 7.172 Å, b = 3.555 Å, c = 7.806 Å
α = 90.00°, β = 98.20°, γ = 90.00°
Fractional coordinates of all 12 atoms:
Sm (0.167, 0.250, 0.161)
Sm (0.833, 0.750, 0.839)
Y (0.368, 0.750, 0.841)
Y (0.632, 0.250, 0.159)
Ti (0.099, 0.250, 0.600)
Ti (0.901, 0.750, 0.400)
N (0.107, 0.250, 0.850)
N (0.172, 0.750, 0.527)
N (0.399, 0.750, 0.138)
N (0.601, 0.250, 0.862)
N (0.828, 0.250, 0.473)
N (0.893, 0.750, 0.150)


Per-record total energy, eV per atom: -2.903; -6.018; -8.669
Per-record DOS(E_F), states/eV per cell: 1.15; 5.79; 3.41
Per-record calculated density, g/cm3: 6.736; 9.261; 5.548